[1]
# CuHRhAu2

Crystalline CuHRhAu2 at its relaxed geometry (PBE, Alexandria via LeMat-Bulk).

```
CuHRhAu2
1.0
4.352 0.000 0.000
0.000 4.352 0.000
0.000 0.000 3.534
Rh Au H Cu
1 2 1 1
Direct
0.000 0.000 0.500
0.500 0.000 0.000
0.000 0.500 0.000
0.000 0.000 0.000
0.500 0.500 0.500
```

Output
Calculated total energy (eV per atom): -4.15
Spin magnetization (μB per cell): 0.00
Space group: P4/mmm, No. 123



[2]
# Cu2HRhAu

Crystalline Cu2HRhAu at its relaxed geometry (PBE, Alexandria via LeMat-Bulk).

```
Cu2HRhAu
1.0
-1.725 -3.397 -1.231
2.606 -2.115 2.183
-2.235 0.125 2.789
Cu Au Rh H
2 1 1 1
Direct
0.500 0.000 0.000
0.000 0.500 0.000
0.500 0.500 0.500
0.000 0.000 0.500
0.000 0.000 0.000
```

Output
Calculated total energy (eV per atom): -4.45
Spin magnetization (μB per cell): 0.00
Space group: P4/mmm, No. 123



[3]
# Cu2HRuAu

Crystalline Cu2HRuAu at its relaxed geometry (PBE, Alexandria via LeMat-Bulk).

```
Cu2HRuAu
1.0
4.023 0.000 0.000
0.000 4.023 0.000
0.000 0.000 3.637
Cu Au H Ru
2 1 1 1
Direct
0.500 0.000 0.000
0.000 0.500 0.000
0.500 0.500 0.500
0.000 0.000 0.000
0.000 0.000 0.500
```

Output
Calculated total energy (eV per atom): -4.65
Spin magnetization (μB per cell): 0.00
Space group: P4/mmm, No. 123



[4]
# CuH2RuAu

Crystalline CuH2RuAu at its relaxed geometry (PBE, Alexandria via LeMat-Bulk).

```
CuH2RuAu
1.0
-3.464 -0.889 0.685
1.530 -4.406 2.022
0.240 1.584 3.270
H Cu Ru Au
2 1 1 1
Direct
0.000 0.000 0.500
0.500 0.000 0.000
0.000 0.000 0.000
0.500 0.500 0.500
0.000 0.500 0.000
```

Output
Calculated total energy (eV per atom): -3.70
Spin magnetization (μB per cell): 2.34
Space group: P4/mmm, No. 123